(1)
Computed, not measured: an optimized crystal structure of RbNa2Ga at the PBE level of DFT.

POSCAR file:
```
RbNa2Ga
1.0
5.253 0.000 0.000
0.000 5.253 0.000
0.000 0.000 23.354
Rb Na Ga
4 8 4
Direct
0.000 0.000 0.000 Rb
0.000 0.500 0.250 Rb
0.500 0.000 0.750 Rb
0.500 0.500 0.500 Rb
0.176 0.250 0.625 Na
0.250 0.676 0.875 Na
0.250 0.824 0.375 Na
0.324 0.250 0.125 Na
0.676 0.750 0.125 Na
0.750 0.176 0.375 Na
0.750 0.324 0.875 Na
0.824 0.750 0.625 Na
0.000 0.000 0.500 Ga
0.000 0.500 0.750 Ga
0.500 0.000 0.250 Ga
0.500 0.500 0.000 Ga
```

* energy of formation from the pure elements: 0.21 eV/atom



(2)
Computed, not measured: an optimized crystal structure of LaF at the PBE level of DFT.

POSCAR file:
```
LaF
1.0
7.027 0.000 0.000
0.000 7.027 0.000
0.000 0.000 4.046
La F
4 4
Direct
0.207 0.207 0.000 La
0.293 0.707 0.500 La
0.707 0.293 0.500 La
0.793 0.793 0.000 La
0.136 0.864 0.000 F
0.364 0.364 0.500 F
0.636 0.636 0.500 F
0.864 0.136 0.000 F
```

* E above lowest polymorph: 0.1249 eV per atom



(3)
Computed, not measured: an optimized crystal structure of FeNiAg2 at the PBE level of DFT.

POSCAR file:
```
FeNiAg2
1.0
3.105 0.000 0.000
0.000 4.358 0.000
0.000 0.000 8.813
Fe Ni Ag
2 2 4
Direct
0.000 0.000 0.000 Fe
0.500 0.500 0.000 Fe
0.000 0.000 0.500 Ni
0.500 0.500 0.500 Ni
0.000 0.500 0.256 Ag
0.000 0.500 0.744 Ag
0.500 0.000 0.256 Ag
0.500 0.000 0.744 Ag
```

* energy of formation from the pure elements: 0.39 eV/atom
* E above lowest polymorph: 0.2136 eV per atom



(4)
Computed, not measured: an optimized crystal structure of CsRuSe3 at the PBE level of DFT.

POSCAR file:
```
CsRuSe3
1.0
5.113 0.000 0.000
0.000 5.113 0.000
0.000 0.000 5.113
Cs Ru Se
1 1 3
Direct
0.000 0.000 0.000 Cs
0.500 0.500 0.500 Ru
0.000 0.500 0.500 Se
0.500 0.000 0.500 Se
0.500 0.500 0.000 Se
```

* E above lowest polymorph: 0.0000 eV per atom



(5)
Computed, not measured: an optimized crystal structure of NaSm2Se at the PBE level of DFT.

POSCAR file:
```
NaSm2Se
1.0
3.901 0.000 0.000
-1.950 3.378 0.000
0.000 0.000 32.214
Na Sm Se
3 6 3
Direct
0.000 0.000 0.000 Na
0.333 0.667 0.667 Na
0.667 0.333 0.333 Na
0.000 0.000 0.112 Sm
0.000 0.000 0.888 Sm
0.333 0.667 0.555 Sm
0.333 0.667 0.779 Sm
0.667 0.333 0.221 Sm
0.667 0.333 0.445 Sm
0.000 0.000 0.500 Se
0.333 0.667 0.167 Se
0.667 0.333 0.833 Se
```



(6)
Computed, not measured: an optimized crystal structure of FeGeSeN2 at the PBE level of DFT.

POSCAR file:
```
FeGeSeN2
1.0
3.658 0.000 0.000
0.000 3.658 0.000
0.000 0.000 6.071
Fe Ge Se N
1 1 1 2
Direct
0.000 0.000 0.000 Fe
0.500 0.500 0.500 Ge
0.500 0.500 0.000 Se
0.000 0.500 0.500 N
0.500 0.000 0.500 N
```

* E above lowest polymorph: 0.3958 eV per atom



(7)
Computed, not measured: an optimized crystal structure of AlMo2Se at the PBE level of DFT.

POSCAR file:
```
AlMo2Se
1.0
3.204 0.000 0.000
0.000 4.389 0.000
0.000 0.000 4.570
Al Mo Se
1 2 1
Direct
0.000 0.000 0.000 Al
0.000 0.500 0.500 Mo
0.500 0.500 0.000 Mo
0.500 0.000 0.500 Se
```

* E above lowest polymorph: 0.3459 eV per atom



(8)
Computed, not measured: an optimized crystal structure of RbTe2O2 at the PBE level of DFT.

POSCAR file:
```
RbTe2O2
1.0
5.932 0.000 0.000
1.999 6.334 0.000
2.964 -0.103 6.635
Rb Te O
2 4 4
Direct
0.014 0.229 0.120 Rb
0.986 0.771 0.880 Rb
0.285 0.242 0.507 Te
0.349 0.703 0.294 Te
0.651 0.297 0.706 Te
0.715 0.758 0.493 Te
0.057 0.592 0.276 O
0.338 0.030 0.704 O
0.662 0.970 0.296 O
0.943 0.408 0.724 O
```



(9)
Computed, not measured: an optimized crystal structure of Ba2FeCl at the PBE level of DFT.

POSCAR file:
```
Ba2FeCl
1.0
4.631 0.000 0.000
0.000 4.631 0.000
0.000 0.000 6.437
Ba Fe Cl
2 1 1
Direct
0.000 0.000 0.000 Ba
0.500 0.500 0.500 Ba
0.000 0.000 0.499 Fe
0.500 0.500 0.000 Cl
```

* E above lowest polymorph: 0.0000 eV per atom



(10)
Computed, not measured: an optimized crystal structure of Ce2Ga2CuNi5 at the PBE level of DFT.

POSCAR file:
```
Ce2Ga2CuNi5
1.0
10.080 0.000 0.000
0.000 10.080 0.000
0.000 0.000 3.021
Ce Ga Cu Ni
4 4 2 10
Direct
0.172 0.328 0.000 Ce
0.328 0.828 0.000 Ce
0.672 0.172 0.000 Ce
0.828 0.672 0.000 Ce
0.130 0.630 0.000 Ga
0.370 0.130 0.000 Ga
0.630 0.870 0.000 Ga
0.870 0.370 0.000 Ga
0.000 0.000 0.000 Cu
0.500 0.500 0.000 Cu
0.000 0.500 0.500 Ni
0.057 0.813 0.500 Ni
0.187 0.057 0.500 Ni
0.313 0.557 0.500 Ni
0.443 0.313 0.500 Ni
0.500 0.000 0.500 Ni
0.557 0.687 0.500 Ni
0.687 0.443 0.500 Ni
0.813 0.943 0.500 Ni
0.943 0.187 0.500 Ni
```

* energy of formation from the pure elements: -0.19 eV/atom



(11)
Computed, not measured: an optimized crystal structure of Ac5Nd4 at the PBE level of DFT.

POSCAR file:
```
Ac5Nd4
1.0
-5.782 5.782 2.728
5.782 -5.782 2.728
5.782 5.782 -2.728
Ac Nd
5 4
Direct
0.000 0.000 0.000 Ac
0.000 0.329 0.329 Ac
0.000 0.671 0.671 Ac
0.329 0.000 0.329 Ac
0.671 0.000 0.671 Ac
0.333 0.333 0.667 Nd
0.333 0.667 0.000 Nd
0.667 0.333 0.000 Nd
0.667 0.667 0.333 Nd
```

* energy of formation from the pure elements: 0.03 eV/atom



(12)
Computed, not measured: an optimized crystal structure of Ac6Pd2N at the PBE level of DFT.

POSCAR file:
```
Ac6Pd2N
1.0
7.001 0.000 0.000
0.000 7.770 0.000
-6.979 0.000 10.793
Ac Pd N
12 4 2
Direct
0.103 0.193 0.438 Ac
0.103 0.307 0.938 Ac
0.251 0.669 0.436 Ac
0.251 0.831 0.936 Ac
0.375 0.034 0.236 Ac
0.375 0.466 0.736 Ac
0.625 0.534 0.264 Ac
0.625 0.966 0.764 Ac
0.749 0.169 0.064 Ac
0.749 0.331 0.564 Ac
0.897 0.693 0.062 Ac
0.897 0.807 0.562 Ac
0.181 0.111 0.746 Pd
0.181 0.389 0.246 Pd
0.819 0.611 0.754 Pd
0.819 0.889 0.254 Pd
0.000 0.000 0.000 N
0.000 0.500 0.500 N
```



(13)
Computed, not measured: an optimized crystal structure of NaSn5Se7 at the PBE level of DFT.

POSCAR file:
```
NaSn5Se7
1.0
6.873 -2.074 0.000
6.873 2.074 0.000
-0.005 0.000 24.880
Na Sn Se
2 10 14
Direct
0.197 0.197 0.250 Na
0.803 0.803 0.750 Na
0.000 0.000 0.000 Sn
0.000 0.000 0.500 Sn
0.270 0.270 0.577 Sn
0.270 0.270 0.923 Sn
0.457 0.457 0.155 Sn
0.457 0.457 0.345 Sn
0.543 0.543 0.655 Sn
0.543 0.543 0.845 Sn
0.730 0.730 0.077 Sn
0.730 0.730 0.423 Sn
0.099 0.099 0.107 Se
0.099 0.099 0.393 Se
0.177 0.177 0.676 Se
0.177 0.177 0.824 Se
0.364 0.364 0.036 Se
0.364 0.364 0.464 Se
0.454 0.454 0.750 Se
0.546 0.546 0.250 Se
0.636 0.636 0.536 Se
0.636 0.636 0.964 Se
0.823 0.823 0.176 Se
0.823 0.823 0.324 Se
0.901 0.901 0.607 Se
0.901 0.901 0.893 Se
```



(14)
Computed, not measured: an optimized crystal structure of Er4ZrZn5 at the PBE level of DFT.

POSCAR file:
```
Er4ZrZn5
1.0
3.502 0.000 0.000
0.000 3.502 0.000
0.000 0.000 17.424
Er Zr Zn
4 1 5
Direct
0.000 0.000 0.103 Er
0.000 0.000 0.307 Er
0.000 0.000 0.693 Er
0.000 0.000 0.897 Er
0.000 0.000 0.500 Zr
0.500 0.500 0.000 Zn
0.500 0.500 0.205 Zn
0.500 0.500 0.411 Zn
0.500 0.500 0.589 Zn
0.500 0.500 0.795 Zn
```

* energy of formation from the pure elements: -0.32 eV/atom



(15)
Computed, not measured: an optimized crystal structure of Mg2ZnGeRh at the PBE level of DFT.

POSCAR file:
```
Mg2ZnGeRh
1.0
4.868 0.000 0.000
0.000 4.868 0.000
0.000 0.000 4.758
Mg Zn Ge Rh
2 1 1 1
Direct
0.000 0.500 0.000 Mg
0.500 0.000 0.000 Mg
0.000 0.000 0.500 Zn
0.500 0.500 0.500 Ge
0.000 0.000 0.000 Rh
```

* energy of formation from the pure elements: 0.20 eV/atom
* E above lowest polymorph: 0.4561 eV per atom



(16)
Computed, not measured: an optimized crystal structure of MgIrN3 at the PBE level of DFT.

POSCAR file:
```
MgIrN3
1.0
3.805 0.000 0.000
0.000 3.805 0.000
0.000 0.000 3.805
Mg Ir N
1 1 3
Direct
0.000 0.000 0.000 Mg
0.500 0.500 0.500 Ir
0.000 0.000 0.500 N
0.000 0.500 0.000 N
0.500 0.000 0.000 N
```



(17)
Computed, not measured: an optimized crystal structure of LaPrCoBr at the PBE level of DFT.

POSCAR file:
```
LaPrCoBr
1.0
4.027 0.000 0.000
-2.014 3.488 0.000
0.000 0.000 23.878
La Pr Co Br
3 3 3 3
Direct
0.000 0.000 0.000 La
0.333 0.667 0.667 La
0.667 0.333 0.333 La
0.000 0.000 0.794 Pr
0.333 0.667 0.461 Pr
0.667 0.333 0.128 Pr
0.000 0.000 0.394 Co
0.333 0.667 0.061 Co
0.667 0.333 0.728 Co
0.000 0.000 0.564 Br
0.333 0.667 0.230 Br
0.667 0.333 0.897 Br
```



(18)
Computed, not measured: an optimized crystal structure of CaLa2Cu at the PBE level of DFT.

POSCAR file:
```
CaLa2Cu
1.0
4.739 0.000 0.000
0.000 4.739 0.000
0.000 0.000 10.589
Ca La Cu
2 4 2
Direct
0.000 0.000 0.000 Ca
0.500 0.500 0.500 Ca
0.000 0.500 0.250 La
0.000 0.500 0.750 La
0.500 0.000 0.250 La
0.500 0.000 0.750 La
0.000 0.000 0.500 Cu
0.500 0.500 0.000 Cu
```

* energy of formation from the pure elements: 0.20 eV/atom
* E above lowest polymorph: 0.2316 eV per atom



(19)
Computed, not measured: an optimized crystal structure of Tb3SmY2P6 at the PBE level of DFT.

POSCAR file:
```
Tb3SmY2P6
1.0
3.496 -6.055 0.000
3.496 6.055 0.000
-2.329 0.000 6.594
Tb Sm Y P
3 1 2 6
Direct
0.000 0.000 0.000 Tb
0.334 0.666 0.000 Tb
0.666 0.334 0.000 Tb
0.500 0.500 0.500 Sm
0.167 0.833 0.500 Y
0.833 0.167 0.500 Y
0.080 0.416 0.249 P
0.248 0.248 0.751 P
0.416 0.080 0.249 P
0.584 0.920 0.751 P
0.752 0.752 0.249 P
0.920 0.584 0.751 P
```

* energy of formation from the pure elements: -1.61 eV/atom



(20)
Computed, not measured: an optimized crystal structure of SrBeOs at the PBE level of DFT.

POSCAR file:
```
SrBeOs
1.0
6.306 0.000 0.000
0.000 6.306 0.000
0.000 0.000 6.306
Sr Be Os
4 4 4
Direct
0.000 0.000 0.000 Sr
0.000 0.500 0.500 Sr
0.500 0.000 0.500 Sr
0.500 0.500 0.000 Sr
0.000 0.000 0.500 Be
0.000 0.500 0.000 Be
0.500 0.000 0.000 Be
0.500 0.500 0.500 Be
0.250 0.250 0.750 Os
0.250 0.750 0.250 Os
0.750 0.250 0.250 Os
0.750 0.750 0.750 Os
```

* energy of formation from the pure elements: 1.17 eV/atom
* E above lowest polymorph: 1.0813 eV per atom



(21)
Computed, not measured: an optimized crystal structure of CePmU2P4 at the PBE level of DFT.

POSCAR file:
```
CePmU2P4
1.0
6.924 0.000 0.000
0.000 3.995 0.000
-2.309 0.000 6.667
Ce Pm U P
1 1 2 4
Direct
0.000 0.000 0.000 Ce
0.500 0.500 0.000 Pm
0.000 0.500 0.500 U
0.500 0.000 0.500 U
0.244 0.000 0.736 P
0.253 0.500 0.262 P
0.747 0.500 0.738 P
0.756 0.000 0.264 P
```

* energy of formation from the pure elements: -1.24 eV/atom



(22)
Computed, not measured: an optimized crystal structure of MgAgP at the PBE level of DFT.

POSCAR file:
```
MgAgP
1.0
3.722 0.000 0.000
0.000 3.722 0.000
0.000 0.000 7.803
Mg Ag P
2 2 2
Direct
0.000 0.000 0.000 Mg
0.500 0.500 0.500 Mg
0.000 0.000 0.334 Ag
0.500 0.500 0.834 Ag
0.000 0.000 0.661 P
0.500 0.500 0.161 P
```

* energy of formation from the pure elements: -0.04 eV/atom



(23)
Computed, not measured: an optimized crystal structure of Hf2RuC at the PBE level of DFT.

POSCAR file:
```
Hf2RuC
1.0
6.293 0.000 0.000
0.000 6.293 0.000
0.000 0.000 6.293
Hf Ru C
8 4 4
Direct
0.250 0.250 0.250 Hf
0.250 0.250 0.750 Hf
0.250 0.750 0.250 Hf
0.250 0.750 0.750 Hf
0.750 0.250 0.250 Hf
0.750 0.250 0.750 Hf
0.750 0.750 0.250 Hf
0.750 0.750 0.750 Hf
0.000 0.000 0.000 Ru
0.000 0.500 0.500 Ru
0.500 0.000 0.500 Ru
0.500 0.500 0.000 Ru
0.000 0.000 0.500 C
0.000 0.500 0.000 C
0.500 0.000 0.000 C
0.500 0.500 0.500 C
```

* energy of formation from the pure elements: 0.36 eV/atom
* E above lowest polymorph: 0.3244 eV per atom



(24)
Computed, not measured: an optimized crystal structure of LiBe3 at the PBE level of DFT.

POSCAR file:
```
LiBe3
1.0
3.704 0.000 0.000
0.000 3.704 0.000
0.000 0.000 5.205
Li Be
2 6
Direct
0.000 0.000 0.000 Li
0.500 0.500 0.500 Li
0.000 0.000 0.500 Be
0.000 0.500 0.250 Be
0.000 0.500 0.750 Be
0.500 0.000 0.250 Be
0.500 0.000 0.750 Be
0.500 0.500 0.000 Be
```

* energy of formation from the pure elements: 0.12 eV/atom
* E above lowest polymorph: 0.0897 eV per atom



(25)
Computed, not measured: an optimized crystal structure of RbPm4Te6 at the PBE level of DFT.

POSCAR file:
```
RbPm4Te6
1.0
9.664 0.000 0.000
-4.832 8.370 0.000
0.000 0.000 4.628
Rb Pm Te
1 4 6
Direct
0.000 0.000 0.000 Rb
0.333 0.667 0.000 Pm
0.407 0.203 0.500 Pm
0.797 0.203 0.500 Pm
0.797 0.593 0.500 Pm
0.175 0.350 0.500 Te
0.175 0.825 0.500 Te
0.531 0.063 0.000 Te
0.531 0.469 0.000 Te
0.650 0.825 0.500 Te
0.937 0.469 0.000 Te
```

* E above lowest polymorph: 0.1594 eV per atom



Asked for calculated total energy across the records above, the calculation gives -23.2; -47.1; -36.8; -21.2; -50.1; -27.2; -27.9; -42.4; -15.9; -105.7; -39.3; -97.7; -104.1; -36.4; -15.5; -24.2; -64.6; -30.3; -83.3; -52.5; -64.8; -20.0; -147.8; -25.2; -52.3 eV for the cell shown in order.
Asked for calculated volume across the records above, the calculation gives 644.4; 199.8; 119.2; 133.7; 424.5; 81.2; 64.3; 249.3; 138.0; 307.0; 364.9; 587.2; 709.3; 213.7; 112.7; 55.1; 335.4; 237.8; 279.2; 250.8; 184.4; 108.1; 249.2; 71.4; 374.4 Å³/cell in order.